Entry from the Alexandria database: a geometry-optimized SbSe5 structure (PBEsol).

Unit cell a=6.2135 b=6.2135 c=3.9474 alpha=90.00 beta=90.00 gamma=120.00
Space group P-62m (No. 189)
Unique sites:
Sb (0.0000, 0.0000, 0.0000) (multiplicity 1)
Se (0.0000, 0.6578, 0.5000) (multiplicity 3)
Se (0.3333, 0.6667, 0.0000) (multiplicity 2)

Values from the calculation:
D(E_F) = 3.1 states/eV per cell
Volume = 132 Å³/f.u.
Final energy = -3.795 eV per atom
Formation energy without anion corrections = 1.041 eV/f.u.

---

Entry from the Alexandria database: a geometry-optimized SbSe3 structure (PBEsol).

Unit cell a=4.0288 b=5.7896 c=4.2426 alpha=90.00 beta=95.40 gamma=90.00
Space group P2/m (No. 10)
Unique sites:
Sb (0.0000, 0.0000, 0.0000) (multiplicity 1)
Se (0.1563, 0.5000, 0.7461) (multiplicity 2)
Se (0.5000, 0.0000, 0.5000) (multiplicity 1)

Values from the calculation:
D(E_F) = 2.3 states/eV per cell
Volume = 99 Å³/f.u.
Final energy = -3.917 eV per atom
Formation energy without anion corrections = 0.438 eV/f.u.
Excess energy over the best structure of this formula in the dataset = 6 meV per atom